No. 1
{
  "formula": "Mg3PN",
  "functional": "GGA-PBEsol",
  "state": "relaxed",
  "m_tot_mub_per_cell": 0.00,
  "energy_ev_per_atom": -4.69,
  "formation_energy_uncorrected_ev_per_atom": -0.793,
  "sg": "P4/mbm",
  "cell": [[4.191, 0.000, 0.000], [0.000, 5.856, 0.000], [0.000, 0.000, 5.856]],
  "species": ["P", "P", "Mg", "Mg", "Mg", "Mg", "Mg", "Mg", "N", "N"],
  "fractional_positions": [[0.500, 0.500, 0.000], [0.500, 0.000, 0.500], [0.000, 0.706, 0.794], [0.000, 0.794, 0.294], [0.500, 0.500, 0.500], [0.500, 0.000, 0.000], [0.000, 0.294, 0.206], [0.000, 0.206, 0.706], [0.000, 0.000, 0.000], [0.000, 0.500, 0.500]]
}

No. 2
{
  "formula": "CeZn3Pd2",
  "functional": "GGA-PBEsol",
  "state": "relaxed",
  "formation_energy_ev_per_fu": -3.24,
  "m_tot_mub_per_cell": 0.79,
  "energy_ev_per_atom": -4.42,
  "sg": "P6/mmm",
  "cell": [[-0.599, -2.848, -3.197], [5.117, -0.964, -0.100], [-3.119, -2.807, 3.085]],
  "species": ["Zn", "Zn", "Zn", "Pd", "Pd", "Ce"],
  "fractional_positions": [[0.500, 0.500, 0.000], [0.500, 0.500, 0.500], [0.500, 0.000, 0.500], [0.000, 0.333, 0.667], [0.000, 0.667, 0.333], [0.000, 0.000, 0.000]]
}

No. 3
{
  "formula": "MgMnVS4",
  "functional": "GGA-PBEsol",
  "state": "relaxed",
  "m_tot_mub_per_cell": 11.60,
  "energy_ev_per_atom": -6.39,
  "formation_energy_uncorrected_ev_per_atom": -0.867,
  "sg": "Imma",
  "cell": [[7.091, 0.000, 0.000], [3.546, 6.236, 0.021], [3.546, 2.120, 5.865]],
  "species": ["Mg", "Mg", "Mn", "Mn", "V", "V", "S", "S", "S", "S", "S", "S", "S", "S"],
  "fractional_positions": [[0.875, 0.375, 0.875], [0.125, 0.625, 0.125], [0.500, 0.000, 0.000], [0.500, 0.500, 0.500], [0.500, 0.000, 0.500], [0.000, 0.000, 0.500], [0.739, 0.236, 0.736], [0.263, 0.761, 0.713], [0.263, 0.213, 0.261], [0.711, 0.764, 0.264], [0.737, 0.787, 0.739], [0.289, 0.236, 0.736], [0.261, 0.764, 0.264], [0.737, 0.239, 0.287]]
}

> What is the formula in the third record?

MgMnVS4